CsSr2TlIr | PBE | optimized geometry

Lattice parameters (Å, degrees): 5.971 5.971 5.478 90.00 90.00 90.00
Atoms (fractional coordinates):
Cs 0.000 0.000 0.000
Sr 0.000 0.500 0.500
Sr 0.500 0.000 0.500
Tl 0.500 0.500 0.000
Ir 0.500 0.500 0.500

Properties
The value obtained for the calculated volume is 195.3 Å³ per cell. For the formation energy, the calculation gives -47 meV per atom. The value obtained for the theoretical density is 5.992 g cm⁻³.

***

CsSr2ZnIr | PBE | optimized geometry

Lattice parameters (Å, degrees): 5.912 5.912 5.229 90.00 90.00 90.00
Atoms (fractional coordinates):
Cs 0.000 0.000 0.000
Sr 0.000 0.500 0.500
Sr 0.500 0.000 0.500
Zn 0.500 0.500 0.000
Ir 0.500 0.500 0.500

Properties
The value obtained for the calculated volume is 182.8 Å³ per cell. For the formation energy, the calculation gives 38 meV per atom. The value obtained for the theoretical density is 5.140 g cm⁻³.

***

CsTa3Ir | PBE | optimized geometry

Lattice parameters (Å, degrees): 5.044 5.044 5.044 90.00 90.00 90.00
Atoms (fractional coordinates):
Cs 0.000 0.000 0.000
Ta 0.000 0.500 0.500
Ta 0.500 0.000 0.500
Ta 0.500 0.500 0.000
Ir 0.500 0.500 0.500

Properties
The value obtained for the calculated volume is 128.3 Å³ per cell. For the energy relative to the lowest polymorph listed for this composition, the calculation gives 0 meV per atom. For the formation energy, the calculation gives 1416 meV per atom. The value obtained for the theoretical density is 11.234 g cm⁻³.

***

CsTa3Ir | PBE | optimized geometry

Lattice parameters (Å, degrees): 4.920 4.920 4.920 90.00 90.00 90.00
Atoms (fractional coordinates):
Cs 0.000 0.000 0.000
Ta 0.000 0.000 0.500
Ta 0.000 0.500 0.000
Ta 0.500 0.000 0.000
Ir 0.500 0.500 0.500

Properties
The value obtained for the calculated volume is 119.1 Å³ per cell. For the energy relative to the lowest polymorph listed for this composition, the calculation gives 2023 meV per atom. For the formation energy, the calculation gives 3439 meV per atom. The value obtained for the theoretical density is 12.103 g cm⁻³.

***

CsTa2Ir | PBE | optimized geometry

Lattice parameters (Å, degrees): 4.777 4.777 4.777 60.00 60.00 60.00
Atoms (fractional coordinates):
Cs 0.000 0.000 0.000
Ta 0.250 0.250 0.250
Ta 0.750 0.750 0.750
Ir 0.500 0.500 0.500

Properties
The value obtained for the calculated volume is 77.1 Å³ per cell. For the formation energy, the calculation gives 1284 meV per atom. The value obtained for the theoretical density is 14.798 g cm⁻³.

***

CsTaIr3 | PBE | optimized geometry

Lattice parameters (Å, degrees): 4.875 4.875 4.875 90.00 90.00 90.00
Atoms (fractional coordinates):
Cs 0.000 0.000 0.000
Ta 0.500 0.500 0.500
Ir 0.000 0.000 0.500
Ir 0.000 0.500 0.000
Ir 0.500 0.000 0.000

Properties
The value obtained for the calculated volume is 115.8 Å³ per cell. For the formation energy, the calculation gives 3227 meV per atom. The value obtained for the theoretical density is 12.766 g cm⁻³.